VASP calculation (PBE) on Ac2HoF after structural relaxation.

Lattice parameters (Å, degrees): 3.695 3.695 11.095 80.42 80.42 60.00
Fractional positions:
F (0.500, 0.500, 0.500)
Ac (0.108, 0.108, 0.677)
Ac (0.892, 0.892, 0.323)
Ho (0.000, 0.000, 0.000)

Results
Formation energy (no corrections), meV/atom: -832
Space-group type: R-3m, No. 166
Volume, Å³/atom: 32.2
E, eV per atom: -4.499

VASP calculation (PBE) on Ac2HoF11 after structural relaxation.

Lattice parameters (Å, degrees): 9.107 9.097 9.097 72.42 59.96 59.96
Fractional positions:
F (0.253, 0.320, 0.986)
F (0.500, 0.500, 0.500)
F (0.560, 0.014, 0.680)
F (0.398, 0.680, 0.320)
F (0.679, 0.699, 0.570)
F (0.821, 0.930, 0.801)
F (0.051, 0.570, 0.699)
F (0.060, 0.180, 0.514)
F (0.949, 0.430, 0.301)
F (0.440, 0.986, 0.320)
F (0.753, 0.486, 0.820)
F (0.940, 0.820, 0.486)
F (0.449, 0.801, 0.930)
F (0.898, 0.820, 0.180)
F (0.321, 0.301, 0.430)
F (0.247, 0.514, 0.180)
F (0.000, 0.000, 0.000)
F (0.747, 0.680, 0.014)
F (0.102, 0.180, 0.820)
F (0.179, 0.070, 0.199)
F (0.551, 0.199, 0.070)
F (0.602, 0.320, 0.680)
Ac (0.674, 0.693, 0.307)
Ac (0.826, 0.193, 0.807)
Ac (0.174, 0.807, 0.193)
Ac (0.326, 0.307, 0.693)
Ho (0.250, 0.250, 0.250)
Ho (0.750, 0.750, 0.750)

Results
Formation energy (no corrections), meV/atom: -3468
Space-group type: Ibam, No. 72
Volume, Å³/atom: 20.1
E, eV per atom: -5.853

VASP calculation (PBE) on Ac2HoF8 after structural relaxation.

Lattice parameters (Å, degrees): 4.087 6.336 7.410 115.52 106.01 90.00
Fractional positions:
F (0.030, 0.839, 0.059)
F (0.669, 0.919, 0.338)
F (0.970, 0.161, 0.941)
F (0.425, 0.585, 0.851)
F (0.216, 0.327, 0.432)
F (0.575, 0.415, 0.149)
F (0.331, 0.081, 0.662)
F (0.784, 0.673, 0.568)
Ac (0.830, 0.335, 0.660)
Ac (0.170, 0.665, 0.340)
Ho (0.500, 0.000, 0.000)

Results
Formation energy (no corrections), meV/atom: -3898
Space-group type: C2/m, No. 12
Volume, Å³/atom: 15.0
E, eV per atom: -6.422

VASP calculation (PBE) on AcHoF after structural relaxation.

Lattice parameters (Å, degrees): 5.537 6.758 15.644 149.12 134.53 34.99
Fractional positions:
Ac (0.181, 0.838, 0.098)
Ac (0.198, 0.813, 0.335)
F (0.472, 0.371, 0.614)
F (0.908, 0.280, 0.819)
Ho (0.197, 0.834, 0.595)
Ho (0.183, 0.817, 0.838)

Results
Formation energy (no corrections), meV/atom: -1660
Space-group type: P-1, No. 2
Volume, Å³/atom: 28.7
E, eV per atom: -5.179

VASP calculation (PBE) on Li2AcHoF8 after structural relaxation.

Lattice parameters (Å, degrees): 4.839 4.839 7.950 88.81 88.81 75.45
Fractional positions:
Ho (0.000, 0.000, 0.000)
F (0.219, 0.784, 0.771)
F (0.216, 0.781, 0.229)
F (0.691, 0.691, 0.454)
F (0.784, 0.219, 0.771)
F (0.781, 0.216, 0.229)
F (0.309, 0.309, 0.546)
F (0.279, 0.279, 0.976)
F (0.721, 0.721, 0.024)
Ac (0.000, 0.000, 0.500)
Li (0.602, 0.602, 0.231)
Li (0.398, 0.398, 0.769)

Results
Formation energy (no corrections), meV/atom: -3676
Space-group type: C2/m, No. 12
Volume, Å³/atom: 15.0
E, eV per atom: -5.967

VASP calculation (PBE) on Na2AcHoF8 after structural relaxation.

Lattice parameters (Å, degrees): 4.007 5.645 7.975 90.00 90.00 89.70
Fractional positions:
Na (0.500, 0.500, 0.229)
Na (0.500, 0.500, 0.771)
F (0.498, 0.254, 0.500)
F (0.997, 0.236, 0.230)
F (0.502, 0.746, 0.500)
F (0.997, 0.236, 0.770)
F (0.502, 0.780, 0.000)
F (0.003, 0.764, 0.230)
F (0.003, 0.764, 0.770)
F (0.498, 0.220, 0.000)
Ac (0.000, 0.000, 0.500)
Ho (0.000, 0.000, 0.000)

Results
Formation energy (no corrections), meV/atom: -3702
Space-group type: P2/m, No. 10
Volume, Å³/atom: 15.0
E, eV per atom: -5.893

VASP calculation (PBE) on Ac2IF5 after structural relaxation.

Lattice parameters (Å, degrees): 4.306 6.859 6.859 65.87 71.71 71.71
Fractional positions:
F (0.000, 0.500, 0.500)
F (0.691, 0.127, 0.491)
F (0.309, 0.509, 0.873)
F (0.691, 0.491, 0.127)
F (0.309, 0.873, 0.509)
Ac (0.223, 0.277, 0.277)
Ac (0.777, 0.723, 0.723)
I (0.000, 0.000, 0.000)

Results
Formation energy (no corrections), meV/atom: -3785
Space-group type: Immm, No. 71
Volume, Å³/atom: 21.4
E, eV per atom: -6.176

VASP calculation (PBE) on Ac2IF8 after structural relaxation.

Lattice parameters (Å, degrees): 4.643 7.251 7.251 113.95 100.96 100.96
Fractional positions:
F (0.706, 0.551, 0.551)
F (0.618, 0.387, 0.038)
F (0.155, 0.289, 0.289)
F (0.526, 0.704, 0.931)
F (0.034, 0.347, 0.798)
F (0.618, 0.038, 0.387)
F (0.526, 0.931, 0.704)
F (0.034, 0.798, 0.347)
Ac (0.483, 0.664, 0.301)
Ac (0.483, 0.301, 0.664)
I (0.817, 0.025, 0.025)

Results
Formation energy (no corrections), meV/atom: -3218
Space-group type: Cm, No. 8
Volume, Å³/atom: 19.0
E, eV per atom: -5.466

VASP calculation (PBE) on Ac2I5F after structural relaxation.

Lattice parameters (Å, degrees): 4.069 8.413 22.408 90.00 90.00 103.99
Fractional positions:
Ac (0.748, 0.496, 0.161)
Ac (0.252, 0.504, 0.839)
Ac (0.252, 0.504, 0.661)
Ac (0.748, 0.496, 0.339)
I (0.389, 0.778, 0.250)
I (0.343, 0.686, 0.429)
I (0.657, 0.314, 0.571)
I (0.343, 0.686, 0.071)
I (0.102, 0.204, 0.381)
I (0.657, 0.314, 0.929)
I (0.898, 0.796, 0.881)
I (0.611, 0.222, 0.750)
I (0.898, 0.796, 0.619)
I (0.102, 0.204, 0.119)
F (0.793, 0.585, 0.750)
F (0.207, 0.415, 0.250)

Results
Formation energy (no corrections), meV/atom: -1738
Space-group type: Cmcm, No. 63
Volume, Å³/atom: 46.5
E, eV per atom: -3.968

VASP calculation (PBE) on AcI2F after structural relaxation.

Lattice parameters (Å, degrees): 4.465 4.465 8.964 76.17 76.17 59.99
Fractional positions:
F (0.458, 0.458, 0.625)
Ac (0.792, 0.792, 0.625)
I (0.041, 0.041, 0.889)
I (0.209, 0.209, 0.361)

Results
Formation energy (no corrections), meV/atom: -2490
Space-group type: Cm, No. 8
Volume, Å³/atom: 37.2
E, eV per atom: -4.760

The highest volume belongs to which entry?
Ac2I5F

Look up the formation energy (no corrections) of the tenth one.
-2490 meV/atom